Crystalline CrIn2F6 at its relaxed geometry. Source: the Alexandria database, functional PBE with a Hubbard U.

a = 8.665 Å, b = 8.665 Å, c = 5.225 Å
α = 99.28°, β = 99.28°, γ = 64.46°
Sites, in units of the cell vectors:
1 Cr 0.088 0.912 0.750
2 Cr 0.912 0.088 0.250
3 In 0.107 0.454 0.777
4 In 0.454 0.107 0.277
5 In 0.546 0.893 0.723
6 In 0.893 0.546 0.223
7 F 0.009 0.139 0.606
8 F 0.139 0.009 0.106
9 F 0.157 0.688 0.855
10 F 0.272 0.343 0.462
11 F 0.312 0.843 0.645
12 F 0.343 0.272 0.962
13 F 0.657 0.728 0.038
14 F 0.688 0.157 0.355
15 F 0.728 0.657 0.538
16 F 0.843 0.312 0.145
17 F 0.861 0.991 0.894
18 F 0.991 0.861 0.394

Values from the calculation:
uncorrected energy: -4.957 eV/atom
SG: C2/c